1.
Compound: ZnIr2Br
Source: the Alexandria database
Functional: PBE
Structure: relaxed

Cell: 2.943 2.943 7.991 Å, 90.00 90.00 90.00°
Element x y z (fractional)
1 Zn 0.000 0.000 0.000
2 Ir 0.000 0.000 0.579
3 Ir 0.500 0.500 0.796
4 Br 0.500 0.500 0.326

2.
Compound: Zr2IrBr
Source: the Alexandria database
Functional: PBE
Structure: relaxed

Cell: 4.826 4.826 4.826 Å, 60.00 60.00 60.00°
Element x y z (fractional)
1 Zr 0.000 0.000 0.000
2 Zr 0.250 0.250 0.250
3 Ir 0.500 0.500 0.500
4 Br 0.750 0.750 0.750

3.
Compound: ZrIr3Br
Source: the Alexandria database
Functional: PBE
Structure: relaxed

Cell: 4.970 4.970 4.970 Å, 90.00 90.00 90.00°
Element x y z (fractional)
1 Zr 0.000 0.000 0.000
2 Ir 0.000 0.000 0.500
3 Ir 0.000 0.500 0.000
4 Ir 0.500 0.000 0.000
5 Br 0.500 0.500 0.500

4.
Compound: ZrIr2Br
Source: the Alexandria database
Functional: PBE
Structure: relaxed

Cell: 3.432 3.432 7.968 Å, 90.00 90.00 90.00°
Element x y z (fractional)
1 Zr 0.000 0.000 0.000
2 Ir 0.000 0.000 0.686
3 Ir 0.500 0.500 0.788
4 Br 0.500 0.500 0.226

5.
Compound: ZrIrBr
Source: the Alexandria database
Functional: PBE
Structure: relaxed

Cell: 6.764 6.764 6.764 Å, 152.16 152.16 39.78°
Element x y z (fractional)
1 Zr 0.000 0.000 0.000
2 Ir 0.610 0.610 0.000
3 Br 0.342 0.342 0.000

6.
Compound: ZrIr2Br
Source: the Alexandria database
Functional: PBE
Structure: relaxed

Cell: 4.843 4.843 3.170 Å, 90.00 90.00 107.29°
Element x y z (fractional)
1 Zr 0.000 0.000 0.000
2 Ir 0.000 0.500 0.500
3 Ir 0.500 0.000 0.500
4 Br 0.500 0.500 0.000

7.
Compound: ZrIr2Br
Source: the Alexandria database
Functional: PBE
Structure: relaxed

Cell: 3.423 7.858 7.858 Å, 25.31 90.00 90.00°
Element x y z (fractional)
1 Zr 0.000 0.000 0.000
2 Ir 0.000 0.163 0.163
3 Ir 0.500 0.610 0.610
4 Br 0.500 0.382 0.382

8.
Compound: ZrIrBr
Source: the Alexandria database
Functional: PBE
Structure: relaxed

Cell: 3.642 3.642 6.261 Å, 90.00 90.00 120.00°
Element x y z (fractional)
1 Zr 0.000 0.000 0.000
2 Ir 0.333 0.667 0.765
3 Br 0.667 0.333 0.327

Table of energy (eV/atom), in record order: -4.715 -6.537 -5.537 -7.120 -6.827 -6.630 -7.123 -6.912
Table of formation energy without anion corrections (eV per atom), in record order: 0.452 0.370 1.824 -0.134 -0.466 0.355 -0.137 -0.551